[1]
The following is a DFT calculation (GGA-PBE) of a relaxed structure of Ac2Ge3Pt9.

Cell lengths 8.0071, 8.0071, 10.6696 Å; angles 113.90, 113.90, 59.15 degrees
Closest atoms and distances in Å follow each position.
Fractional coordinates of all 28 atoms:
1 Ac 0.0872 0.2575 0.2473  11 Pt 3.07-3.32
2 Ac 0.2575 0.0872 0.7473  11 Pt 3.07-3.32
3 Ac 0.7425 0.9128 0.2527  11 Pt 3.07-3.32
4 Ac 0.9128 0.7425 0.7527  11 Pt 3.07-3.32
5 Ge 0.0000 0.5000 0.0000  8 Pt 2.66-2.74
6 Ge 0.1393 0.6828 0.5071  6 Pt 2.55-2.80
7 Ge 0.3172 0.8607 0.9929  6 Pt 2.55-2.80
8 Ge 0.5000 0.0000 0.5000  8 Pt 2.66-2.74
9 Ge 0.6828 0.1393 0.0071  6 Pt 2.55-2.80
10 Ge 0.8607 0.3172 0.4929  6 Pt 2.55-2.80
11 Pt 0.0186 0.8518 0.0803  2 Ge 2.56-2.66, 2 Pt 2.77-2.86
12 Pt 0.1482 0.9814 0.4197  2 Ge 2.56-2.66, 2 Pt 2.77-2.86
13 Pt 0.2039 0.3581 0.5727  3 Ge 2.68-2.71, 4 Pt 2.77-2.96
14 Pt 0.2198 0.5850 0.2722  2 Ge 2.55-2.74, 1 Pt 2.77
15 Pt 0.3116 0.4944 0.9497  3 Ge 2.73-2.93, 6 Pt 2.80-3.03
16 Pt 0.3581 0.2039 0.0727  3 Ge 2.68-2.71, 4 Pt 2.77-2.96
17 Pt 0.3714 0.6286 0.7500  2 Ge 2.56, 2 Pt 2.77
18 Pt 0.4150 0.7802 0.2278  2 Ge 2.55-2.74, 1 Pt 2.77
19 Pt 0.4944 0.3116 0.4497  3 Ge 2.73-2.93, 6 Pt 2.80-3.03
20 Pt 0.5056 0.6884 0.5503  3 Ge 2.73-2.93, 6 Pt 2.80-3.03
21 Pt 0.5850 0.2198 0.7722  2 Ge 2.55-2.74, 1 Pt 2.77
22 Pt 0.6286 0.3714 0.2500  2 Ge 2.56, 2 Pt 2.77
23 Pt 0.6419 0.7961 0.9273  3 Ge 2.68-2.71, 4 Pt 2.77-2.96
24 Pt 0.6884 0.5056 0.0503  3 Ge 2.73-2.93, 6 Pt 2.80-3.03
25 Pt 0.7802 0.4150 0.7278  2 Ge 2.55-2.74, 1 Pt 2.77
26 Pt 0.7961 0.6419 0.4273  3 Ge 2.68-2.71, 4 Pt 2.77-2.96
27 Pt 0.8518 0.0186 0.5803  2 Ge 2.56-2.66, 2 Pt 2.77-2.86
28 Pt 0.9814 0.1482 0.9197  2 Ge 2.56-2.66, 2 Pt 2.77-2.86

Values from the calculation:
crystal system = monoclinic
DFT formation energy = -67.42 kJ/mol of atoms
D(E_F) = 12.46 states/eV/cell
calculated total energy = -172.44 eV for the cell shown



[2]
The following is a DFT calculation (GGA-PBE) of a relaxed structure of Ac8Ge5Pt.

Cell lengths 8.4257, 8.4257, 8.4257 Å; angles 110.09, 110.09, 108.24 degrees
Closest atoms and distances in Å follow each position.
Fractional coordinates of all 14 atoms:
1 Ac 0.0045 0.6349 0.7581  1 Pt 3.07, 2 Ge 3.17-3.21
2 Ac 0.2490 0.4993 0.1197  4 Ge 3.17-3.50
3 Ac 0.3651 0.1232 0.3696  1 Pt 3.07, 2 Ge 3.17-3.21
4 Ac 0.3796 0.1293 0.8803  4 Ge 3.17-3.50
5 Ac 0.5007 0.6204 0.7497  4 Ge 3.17-3.50
6 Ac 0.7535 0.9955 0.6304  1 Pt 3.07, 2 Ge 3.17-3.21
7 Ac 0.8707 0.7510 0.2503  4 Ge 3.17-3.50
8 Ac 0.8768 0.2465 0.2419  1 Pt 3.07, 2 Ge 3.17-3.21
9 Ge 0.1234 0.2553 0.6287  5 Ac 3.17-3.50
10 Ge 0.2500 0.7500 0.5000  4 Ac 3.17
11 Ge 0.5052 0.8766 0.1318  5 Ac 3.17-3.50
12 Ge 0.6266 0.4948 0.3713  5 Ac 3.17-3.50
13 Ge 0.7447 0.3734 0.8682  5 Ac 3.17-3.50
14 Pt 0.0000 0.0000 0.0000  4 Ac 3.07

Values from the calculation:
crystal system = tetragonal
DFT formation energy = -70.56 kJ/mol of atoms
D(E_F) = 7.40 states/eV/cell
calculated total energy = -72.23 eV for the cell shown